Density functional theory data (PBE-GGA) for a relaxed U3Co7Ge2 crystal.

E, eV/atom: -7.840
Magnetization, μB/cell: 2.7
DFT formation energy, meV per atom: -103.6

Lattice parameters (Å, degrees): 4.351 4.196 9.910 102.22 90.00 90.00
Fractional coordinates of all 12 atoms:
U 0.500 0.500 0.000
U 0.500 0.677 0.353
U 0.500 0.323 0.647
Co 0.000 0.420 0.840
Co 0.000 0.722 0.445
Co 0.000 0.000 0.000
Co 0.000 0.580 0.160
Co 0.500 0.085 0.171
Co 0.500 0.915 0.829
Co 0.000 0.278 0.555
Ge 0.000 0.854 0.707
Ge 0.000 0.146 0.293